A relaxed VPd6O12 crystal, computed with PBE+U.

Cell lengths 9.2555, 9.2555, 8.6413 Å; angles 90.00, 90.00, 120.00 degrees
Space group R-3 (No. 148, hexagonal axes)
Asymmetric unit:
V 0.0000 0.0000 0.0000 (multiplicity 3)
Pd 0.0481 0.2429 0.6633 (multiplicity 18)
O 0.0346 0.2370 0.4098 (multiplicity 18)
O 0.0839 0.1965 0.8844 (multiplicity 18)

Calculated values
For the final energy, the calculation gives -107.0 eV per formula unit. As for the total magnetization: 0.00 μB per cell.